## SrLi2AlZn (PBE)

Data for a geometry-optimized SrLi2AlZn structure.

```
5
Lattice="-0.3364 -4.6860 -1.9116 5.0022 -0.5988 0.5877 -0.7317 -1.7576 4.4373" Properties=species:S:1:pos:R:3 pbc="T T T"
Al 0.0000 0.0000 0.0000
Li 2.5011 -0.2994 0.2939
Li -0.1682 -2.3430 -0.9558
Sr 1.9671 -3.5212 1.5567
Zn -0.3659 -0.8788 2.2187
```

## Properties
The value obtained for the mass density is 2.6 g cm⁻³. The value obtained for the energy above the most stable polymorph in this dataset is 0.17 eV/f.u. The value obtained for the formation enthalpy at 0 K is 0.002 eV per atom.

## LaPm3Ag3 (PBE)

Data for a geometry-optimized LaPm3Ag3 structure.

```
14
Lattice="-6.2555 -4.0835 0.7315 3.7289 -5.0630 4.0991 -1.2911 4.9306 5.2622" Properties=species:S:1:pos:R:3 pbc="T T T"
Pm -3.5274 -4.3511 1.6517
Pm -5.0917 -1.7957 3.9729
Pm -1.5708 -0.3753 4.5482
Pm 1.0008 -4.7954 3.1790
Pm -2.2469 -3.8405 5.5447
Pm 1.2740 -2.4202 6.1200
Ag -5.1319 -3.1837 6.6453
Ag -0.5418 -3.6340 8.1935
Ag -3.4306 -4.7707 8.7835
Ag -0.3872 0.5549 1.3093
Ag 1.3142 -1.0322 3.4475
Ag -3.2759 -0.5819 1.8993
La -1.9505 2.5426 6.5225
La -1.8673 -6.7585 3.5704
```

## Properties
The value obtained for the mass density is 7.4 g cm⁻³. The value obtained for the formation enthalpy at 0 K is -0.129 eV per atom.

## LiMg2Re (PBE)

Data for a geometry-optimized LiMg2Re structure.

```
4
Lattice="2.7244 0.0000 0.0000 0.0000 4.2684 0.0000 0.0000 0.0000 5.8964" Properties=species:S:1:pos:R:3 pbc="T T T"
Li 1.3622 2.1342 4.4223
Re 1.3622 2.1342 1.4741
Mg 0.0000 0.0000 0.0885
Mg 0.0000 0.0000 2.8597
```

## Properties
The value obtained for the mass density is 5.9 g cm⁻³. The value obtained for the energy above the most stable polymorph in this dataset is 0.51 eV/f.u. The value obtained for the formation enthalpy at 0 K is 0.309 eV per atom.